The following is a DFT calculation (PBE) of Tl5Ga12Hg3 after structural relaxation.

## Properties
Space group = Ia-3d, No. 230
Electronic total energy = -178.44 eV for the cell shown

a b c (Å): 14.170 14.170 14.170
angles (deg): 109.47 109.47 109.47
Element x y z (fractional)
Hg1 0.750 0.375 0.125
Hg2 0.875 0.750 0.125
Hg3 0.375 0.750 0.625
Hg4 0.250 0.125 0.375
Hg5 0.875 0.125 0.250
Hg6 0.375 0.625 0.250
Hg7 0.625 0.375 0.750
Hg8 0.125 0.875 0.750
Hg9 0.750 0.875 0.625
Hg10 0.625 0.250 0.375
Hg11 0.125 0.250 0.875
Hg12 0.250 0.625 0.875
Tl1 0.125 0.375 0.250
Tl2 0.000 0.500 0.000
Tl3 0.000 0.000 0.000
Tl4 0.375 0.250 0.125
Tl5 0.500 0.000 0.500
Tl6 0.500 0.500 0.000
Tl7 0.125 0.750 0.375
Tl8 0.750 0.125 0.875
Tl9 0.750 0.625 0.375
Tl10 0.375 0.125 0.750
Tl11 0.625 0.875 0.250
Tl12 0.500 0.500 0.500
Tl13 0.500 0.000 0.000
Tl14 0.000 0.000 0.500
Tl15 0.250 0.375 0.625
Tl16 0.250 0.875 0.125
Tl17 0.000 0.500 0.500
Tl18 0.875 0.250 0.625
Tl19 0.625 0.750 0.875
Tl20 0.875 0.625 0.750
Ga1 0.737 0.146 0.075
Ga2 0.338 0.575 0.429
Ga3 0.925 0.354 0.263
Ga4 0.575 0.237 0.146
Ga5 0.591 0.737 0.662
Ga6 0.925 0.571 0.162
Ga7 0.338 0.763 0.409
Ga8 0.071 0.909 0.146
Ga9 0.571 0.925 0.662
Ga10 0.737 0.591 0.162
Ga11 0.763 0.425 0.354
Ga12 0.838 0.929 0.075
Ga13 0.146 0.737 0.575
Ga14 0.354 0.429 0.091
Ga15 0.091 0.929 0.354
Ga16 0.409 0.146 0.571
Ga17 0.091 0.162 0.237
Ga18 0.425 0.662 0.071
Ga19 0.838 0.909 0.263
Ga20 0.146 0.409 0.071
Ga21 0.354 0.925 0.763
Ga22 0.571 0.646 0.409
Ga23 0.929 0.838 0.575
Ga24 0.763 0.338 0.909
Ga25 0.429 0.354 0.591
Ga26 0.071 0.162 0.425
Ga27 0.237 0.662 0.091
Ga28 0.162 0.091 0.737
Ga29 0.646 0.075 0.237
Ga30 0.854 0.591 0.929
Ga31 0.575 0.338 0.929
Ga32 0.591 0.854 0.429
Ga33 0.909 0.838 0.763
Ga34 0.909 0.071 0.646
Ga35 0.854 0.263 0.425
Ga36 0.162 0.071 0.925
Ga37 0.646 0.571 0.909
Ga38 0.429 0.075 0.338
Ga39 0.263 0.409 0.838
Ga40 0.237 0.575 0.646
Ga41 0.929 0.091 0.854
Ga42 0.662 0.237 0.591
Ga43 0.425 0.763 0.854
Ga44 0.075 0.429 0.838
Ga45 0.409 0.263 0.338
Ga46 0.075 0.646 0.737
Ga47 0.662 0.425 0.571
Ga48 0.263 0.854 0.925